VASP calculation (PBE) on an optimized crystal structure of Ac4Si2Pt5.

Calculated values
The calculation puts the formation energy (no corrections) at -1.022 eV per atom.

Unit cell a=4.327 b=7.367 c=8.464 alpha=88.64 beta=90.00 gamma=90.00
Fractional positions:
Pt 0.000 0.395 0.649
Pt 0.000 0.130 0.144
Pt 0.000 0.870 0.856
Pt 0.000 0.605 0.351
Pt 0.000 0.500 0.000
Si 0.000 0.070 0.626
Si 0.000 0.930 0.374
Ac 0.500 0.726 0.626
Ac 0.500 0.274 0.374
Ac 0.500 0.764 0.117
Ac 0.500 0.236 0.883

VASP calculation (PBE) on an optimized crystal structure of LaCe3Th4As8.

Calculated values
Its raw total energy is -0.259 hartree per atom.

Unit cell a=8.520 b=8.517 c=8.520 alpha=120.02 beta=120.00 gamma=90.00
Last column: magnetic moment on the atom in μB.
Fractional positions:
As 0.252 0.751 0.999  0.00
As 0.252 0.751 0.505  0.01
As 0.747 0.751 0.999  0.00
As 0.749 0.748 0.499  0.00
As 0.748 0.249 0.001  0.00
As 0.253 0.249 0.001  0.00
As 0.748 0.249 0.495  0.01
As 0.251 0.252 0.501  0.00
La 0.000 0.500 0.000  0.00
Th 0.000 0.000 0.500  -0.01
Th 0.000 0.000 0.000  0.00
Th 0.500 0.000 0.000  -0.01
Th 0.500 0.000 0.500  -0.01
Ce 0.500 0.500 0.000  0.61
Ce 0.500 0.500 0.500  -0.62
Ce 0.000 0.500 0.500  -0.62

VASP calculation (PBE) on an optimized crystal structure of Ca2AcLa6.

Calculated values
Its raw total energy is -0.148 hartree per atom.

Unit cell a=3.555 b=11.224 c=10.691 alpha=121.66 beta=99.56 gamma=90.00
Fractional positions:
Ca 0.663 0.665 0.329
Ca 0.337 0.335 0.671
La 0.835 0.023 0.668
La 0.500 0.699 0.000
La 0.835 0.645 0.668
La 0.500 0.301 0.000
La 0.165 0.355 0.332
La 0.165 0.977 0.332
Ac 0.000 0.000 0.000

VASP calculation (PBE) on an optimized crystal structure of Ca2ScOs.

Calculated values
The calculation puts the excess energy over the best structure of this formula in the dataset at 0 meV/atom.

Unit cell a=3.428 b=3.425 c=9.707 alpha=69.25 beta=90.00 gamma=90.00
Fractional positions:
Sc 0.500 0.829 0.671
Os 0.000 0.465 0.535
Ca 0.000 0.033 0.967
Ca 0.500 0.173 0.328

VASP calculation (PBE) on an optimized crystal structure of Nd2Ho3Co2.

Calculated values
Its raw total energy is -0.202 hartree per atom.

Unit cell a=3.642 b=6.363 c=9.016 alpha=115.26 beta=90.00 gamma=106.63
Fractional positions:
Nd 0.170 0.340 0.801
Nd 0.830 0.660 0.199
Ho 0.500 0.000 0.000
Ho 0.620 0.239 0.424
Ho 0.380 0.761 0.576
Co 0.176 0.351 0.243
Co 0.824 0.649 0.757

VASP calculation (PBE) on an optimized crystal structure of Y2ScTaSb.

Calculated values
The calculation puts the formation energy (no corrections) at 0.605 eV per atom.

Unit cell a=5.599 b=5.142 c=5.599 alpha=90.00 beta=90.00 gamma=90.00
Fractional positions:
Sb 0.000 0.000 0.000
Sc 0.500 0.500 0.500
Y 0.000 0.000 0.500
Y 0.500 0.000 0.000
Ta 0.000 0.500 0.000

VASP calculation (PBE) on an optimized crystal structure of PmNdSc2.

Calculated values
The calculation puts the excess energy over the best structure of this formula in the dataset at 3 meV/atom.

Unit cell a=4.552 b=5.068 c=5.068 alpha=90.00 beta=90.00 gamma=90.00
Fractional positions:
Sc 0.000 0.000 0.500
Sc 0.000 0.500 0.000
Pm 0.500 0.500 0.500
Nd 0.500 0.000 0.000

VASP calculation (PBE) on an optimized crystal structure of NdEr8Sc2.

Calculated values
The calculation puts the excess energy over the best structure of this formula in the dataset at 0 meV/atom.

Unit cell a=4.925 b=7.798 c=10.374 alpha=121.34 beta=103.73 gamma=90.00
Fractional positions:
Er 0.683 0.455 0.367
Er 0.406 0.271 0.811
Er 0.317 0.545 0.633
Er 0.048 0.369 0.095
Er 0.952 0.631 0.905
Er 0.140 0.089 0.280
Er 0.594 0.729 0.189
Er 0.860 0.911 0.720
Sc 0.228 0.822 0.457
Sc 0.772 0.178 0.543
Nd 0.500 0.000 0.000

VASP calculation (PBE) on an optimized crystal structure of TmPuN.

Calculated values
The calculation puts the formation energy (no corrections) at -0.405 eV per atom. The calculation puts the excess energy over the best structure of this formula in the dataset at 266 meV/atom.

Unit cell a=3.260 b=5.679 c=12.138 alpha=90.00 beta=90.00 gamma=90.00
Last column: magnetic moment on the atom in μB.
Fractional positions:
Pu 0.250 0.870 0.529  1.00
Pu 0.750 0.630 0.029  1.00
Pu 0.250 0.370 0.971  1.00
Pu 0.750 0.130 0.471  1.00
Tm 0.250 0.829 0.795  0.05
Tm 0.750 0.671 0.295  0.05
Tm 0.750 0.171 0.205  0.05
Tm 0.250 0.329 0.705  0.05
N 0.250 0.460 0.177  0.01
N 0.750 0.540 0.823  0.01
N 0.250 0.960 0.323  0.01
N 0.750 0.040 0.677  0.01

VASP calculation (PBE) on an optimized crystal structure of CsIn4S7.

Calculated values
The calculation puts the formation energy (no corrections) at -0.590 eV per atom.

Unit cell a=6.439 b=6.832 c=16.222 alpha=90.00 beta=90.00 gamma=90.00
Last column: magnetic moment on the atom in μB.
Fractional positions:
Cs 0.500 0.801 0.500  0.00
Cs 0.000 0.199 0.000  0.00
S 0.974 0.175 0.246  0.01
S 0.948 0.150 0.500  0.24
S 0.974 0.175 0.754  0.01
S 0.474 0.825 0.254  0.01
S 0.448 0.850 0.000  0.24
S 0.479 0.306 0.386  0.11
S 0.474 0.825 0.746  0.01
S 0.980 0.676 0.384  0.10
S 0.980 0.676 0.616  0.10
S 0.480 0.324 0.884  0.10
S 0.979 0.694 0.886  0.11
S 0.479 0.306 0.614  0.11
S 0.979 0.694 0.114  0.11
S 0.480 0.324 0.116  0.10
In 0.577 0.185 0.249  0.00
In 0.594 0.670 0.880  0.00
In 0.094 0.330 0.380  0.00
In 0.577 0.185 0.751  0.00
In 0.077 0.815 0.749  0.00
In 0.094 0.330 0.620  0.00
In 0.594 0.670 0.120  0.00
In 0.077 0.815 0.251  0.00

VASP calculation (PBE) on an optimized crystal structure of ScSbPCl2.

Calculated values
The calculation puts the formation energy (no corrections) at -0.632 eV per atom. The calculation puts the excess energy over the best structure of this formula in the dataset at 0 meV/atom.

Unit cell a=4.776 b=4.776 c=5.591 alpha=90.00 beta=90.00 gamma=90.00
Last column: magnetic moment on the atom in μB.
Fractional positions:
Cl 0.000 0.500 0.000  0.03
Cl 0.500 0.000 0.000  0.03
P 0.000 0.000 0.500  -0.07
Sb 0.500 0.500 0.500  0.44
Sc 0.000 0.000 0.000  0.01

VASP calculation (PBE) on an optimized crystal structure of Ca2InP.

Calculated values
The calculation puts the excess energy over the best structure of this formula in the dataset at 141 meV/atom.

Unit cell a=5.673 b=5.673 c=5.673 alpha=135.09 beta=125.41 gamma=73.28
Fractional positions:
P 0.250 0.750 0.500
Ca 0.469 0.469 0.000
Ca 0.031 0.031 0.000
In 0.750 0.250 0.500